No. 1
Density functional theory data (GGA-PBEsol) for a relaxed ScHgP2S crystal.

The space group is P4/mmm (No. 123) and the conventional cell measures 4.829, 4.829 and 4.887 Å, with angles of 90.00, 90.00 and 90.00 degrees. The distinct sites, in fractional coordinates, are Sc at (0.000, 0.000, 0.000), Hg at (0.500, 0.500, 0.500), P at (0.000, 0.500, 0.500) and S at (0.500, 0.500, 0.000).

For the uncorrected formation energy, the calculation gives 0.659 eV per atom.



No. 2
Density functional theory data (GGA-PBEsol) for a relaxed TlIr2W crystal.

The space group is Cm (No. 8) and the conventional cell measures 9.382, 2.861 and 4.868 Å, with angles of 90.00, 99.95 and 90.00 degrees. The distinct sites, in fractional coordinates, are Tl at (0.000, 0.000, 0.000), Ir at (0.254, 0.500, 0.216), Ir at (0.498, 0.000, 0.506) and W at (0.237, 0.000, 0.685).

For the energy of formation from the pure elements, the calculation gives 367.5 meV/atom. The energy above the lowest structure with this stoichiometry is 0.0 meV per atom.



No. 3
Density functional theory data (GGA-PBEsol) for a relaxed LaC2Cl crystal.

The space group is Fm-3m (No. 225) and the conventional cell measures 6.218, 6.218 and 6.218 Å, with angles of 90.00, 90.00 and 90.00 degrees. The distinct sites, in fractional coordinates, are La at (0.000, 0.000, 0.000), C at (0.250, 0.250, 0.250) and Cl at (0.000, 0.000, 0.500).

The energy above the lowest structure with this stoichiometry is 325.2 meV per atom. For the uncorrected formation energy, the calculation gives 1.539 eV per atom.



No. 4
Density functional theory data (GGA-PBEsol) for a relaxed TcAs2W crystal.

The space group is Cm (No. 8) and the conventional cell measures 8.746, 3.129 and 4.545 Å, with angles of 90.00, 107.00 and 90.00 degrees. The distinct sites, in fractional coordinates, are Tc at (0.000, 0.000, 0.000), As at (0.261, 0.000, 0.866), As at (0.498, 0.000, 0.516) and W at (0.256, 0.500, 0.381).

For the energy of formation from the pure elements, the calculation gives -14.6 meV/atom.



No. 5
Density functional theory data (GGA-PBEsol) for a relaxed Cd2SbMo crystal.

The space group is P4mm (No. 99) and the conventional cell measures 3.058, 3.058 and 8.935 Å, with angles of 90.00, 90.00 and 90.00 degrees. The distinct sites, in fractional coordinates, are Cd at (0.000, 0.000, 0.000), Cd at (0.500, 0.500, 0.248), Sb at (0.500, 0.500, 0.674) and Mo at (0.000, 0.000, 0.467).

For the uncorrected formation energy, the calculation gives 0.339 eV per atom.



No. 6
Density functional theory data (GGA-PBEsol) for a relaxed K2HfCdSi crystal.

The space group is P4/mmm (No. 123) and the conventional cell measures 6.966, 6.966 and 4.960 Å, with angles of 90.00, 90.00 and 90.00 degrees. The distinct sites, in fractional coordinates, are K at (0.000, 0.500, 0.000), Hf at (0.000, 0.000, 0.000), Cd at (0.500, 0.500, 0.500) and Si at (0.000, 0.000, 0.500).

For the uncorrected formation energy, the calculation gives 0.933 eV per atom.



No. 7
Density functional theory data (GGA-PBEsol) for a relaxed In2MoAs crystal.

The space group is C2/m (No. 12) and the conventional cell measures 10.430, 3.199 and 4.569 Å, with angles of 90.00, 94.56 and 90.00 degrees. The distinct sites, in fractional coordinates, are In at (0.233, 0.000, 0.243), Mo at (0.000, 0.500, 0.000) and As at (0.000, 0.000, 0.500).

For the energy of formation from the pure elements, the calculation gives 424.6 meV/atom.



No. 8
Density functional theory data (GGA-PBEsol) for a relaxed BeP3Rh crystal.

The space group is Pm-3m (No. 221) and the conventional cell measures 4.524, 4.524 and 4.524 Å, with angles of 90.00, 90.00 and 90.00 degrees. The distinct sites, in fractional coordinates, are Be at (0.000, 0.000, 0.000), P at (0.000, 0.500, 0.500) and Rh at (0.500, 0.500, 0.500).

For the energy of formation from the pure elements, the calculation gives 1016.3 meV/atom.



No. 9
Density functional theory data (GGA-PBEsol) for a relaxed Sc2CdCo crystal.

The space group is Imm2 (No. 44) and the conventional cell measures 3.078, 4.650 and 10.192 Å, with angles of 90.00, 90.00 and 90.00 degrees. The distinct sites, in fractional coordinates, are Sc at (0.000, 0.000, 0.000), Sc at (0.000, 0.500, 0.196), Cd at (0.000, 0.000, 0.407) and Co at (0.000, 0.500, 0.696).

For the energy of formation from the pure elements, the calculation gives -150.9 meV/atom.



No. 10
Density functional theory data (GGA-PBEsol) for a relaxed InCuSb2 crystal.

The space group is Cmmm (No. 65) and the conventional cell measures 6.185, 7.634 and 3.800 Å, with angles of 90.00, 90.00 and 90.00 degrees. The distinct sites, in fractional coordinates, are In at (0.000, 0.000, 0.000), Cu at (0.000, 0.500, 0.000) and Sb at (0.250, 0.250, 0.500).

For the uncorrected formation energy, the calculation gives 0.301 eV per atom.



No. 11
Density functional theory data (GGA-PBEsol) for a relaxed ZrAsBr2F crystal.

The space group is P4/mmm (No. 123) and the conventional cell measures 5.122, 5.122 and 3.871 Å, with angles of 90.00, 90.00 and 90.00 degrees. The distinct sites, in fractional coordinates, are Zr at (0.000, 0.000, 0.000), As at (0.500, 0.500, 0.000), Br at (0.000, 0.500, 0.500) and F at (0.500, 0.500, 0.500).

For the uncorrected formation energy, the calculation gives -0.192 eV per atom.



No. 12
Density functional theory data (GGA-PBEsol) for a relaxed Co2HgOs crystal.

The space group is Imm2 (No. 44) and the conventional cell measures 2.703, 4.433 and 9.040 Å, with angles of 90.00, 90.00 and 90.00 degrees. The distinct sites, in fractional coordinates, are Co at (0.000, 0.000, 0.000), Co at (0.000, 0.500, 0.281), Hg at (0.000, 0.000, 0.515) and Os at (0.000, 0.500, 0.733).

For the energy of formation from the pure elements, the calculation gives 554.5 meV/atom.